First-principles (PBE) data for InCuW2 after structural relaxation, as listed in Alexandria via LeMat-Bulk.

Geometry as CIF:
```
data_InCuW2
_chemical_formula_sum 'In4 Cu4 W8'
_cell_length_a 3.771
_cell_length_b 3.771
_cell_length_c 19.976
_cell_angle_alpha 90.00
_cell_angle_beta 90.00
_cell_angle_gamma 90.00
_symmetry_space_group_name_H-M 'I -4 2 d'
_symmetry_Int_Tables_number 122
_symmetry_space_group_name_Hall 'I -4 2bw'
loop_
_atom_site_label
_atom_site_type_symbol
_atom_site_fract_x
_atom_site_fract_y
_atom_site_fract_z
In1 In 0.000 0.000 0.000
Cu1 Cu 0.000 0.000 0.500
W1 W 0.244 0.250 0.625
```

Summary:
* DOS(E_F): 10.56 states/eV/cell
* volume: 17.757 Å³ per atom
* density: 12.8 g/cm3
* energy relative to the elements: 0.845 eV per atom